Record 1
# Tl3IBr2O6 | Alexandria via LeMat-Bulk | PBE | optimized geometry
# calculated density: 7.2 g/cm3
# uncorrected formation energy: -2.99 eV per formula unit
# crystal system: monoclinic
# uncorrected energy: -3.73 eV/atom
data_Tl3IBr2O6
_chemical_formula_sum 'Tl6 I2 Br4 O12'
_space_group_name_H-M_alt 'C 1 2/m 1'
_space_group_IT_number 12
_cell_length_a 12.3957
_cell_length_b 6.4006
_cell_length_c 5.7954
_cell_angle_alpha 90.00
_cell_angle_beta 95.11
_cell_angle_gamma 90.00
loop_
_space_group_symop_operation_xyz
'x,y,z'
'-x,-y,-z'
'-x,y,-z'
'x,-y,z'
'x+1/2,y+1/2,z'
'-x+1/2,-y+1/2,-z'
'-x+1/2,y+1/2,-z'
'x+1/2,-y+1/2,z'
loop_
_atom_site_label
_atom_site_fract_x
_atom_site_fract_y
_atom_site_fract_z
Tl1 0.0000 0.0000 0.0000
Tl2 0.2500 0.2500 0.5000
I1 0.0000 0.5000 0.5000
Br1 0.2013 0.0000 0.9252
O1 0.0635 0.2822 0.3139
O2 0.1322 0.5000 0.6953


Record 2
# Mg2TcOs | Alexandria via LeMat-Bulk | PBE | optimized geometry
# calculated density: 8.9 g/cm3
# ΔE to the lowest computed polymorph: 0.234 eV/atom
# crystal system: orthorhombic
# calculated formation energy: 0.251 eV/atom
# uncorrected energy: -5.94 eV/atom
data_Mg2TcOs
_chemical_formula_sum 'Mg2 Tc1 Os1'
_space_group_name_H-M_alt 'P m m m'
_space_group_IT_number 47
_cell_length_a 3.1621
_cell_length_b 4.3956
_cell_length_c 4.5061
_cell_angle_alpha 90.00
_cell_angle_beta 90.00
_cell_angle_gamma 90.00
loop_
_space_group_symop_operation_xyz
'x,y,z'
'-x,-y,-z'
'-x,-y,z'
'x,y,-z'
'x,-y,-z'
'-x,y,z'
'-x,y,-z'
'x,-y,z'
loop_
_atom_site_label
_atom_site_fract_x
_atom_site_fract_y
_atom_site_fract_z
Mg1 0.0000 0.0000 0.0000
Mg2 0.5000 0.5000 0.0000
Tc1 0.0000 0.5000 0.5000
Os1 0.5000 0.0000 0.5000


Record 3
# LiNd6Cd | Alexandria via LeMat-Bulk | PBE | optimized geometry
# calculated density: 6.4 g/cm3
# crystal system: tetragonal
# calculated formation energy: -0.057 eV/atom
# uncorrected energy: -3.99 eV/atom
data_LiNd6Cd
_chemical_formula_sum 'Li2 Nd12 Cd2'
_space_group_name_H-M_alt 'I 4/m m m'
_space_group_IT_number 139
_space_group_name_Hall '-I 4 2'
_cell_length_a 5.2487
_cell_length_b 5.2487
_cell_length_c 18.4351
_cell_angle_alpha 90.00
_cell_angle_beta 90.00
_cell_angle_gamma 90.00
loop_
_atom_site_label
_atom_site_fract_x
_atom_site_fract_y
_atom_site_fract_z
Li1 0.0000 0.0000 0.0000
Nd1 0.0000 0.0000 0.2491
Nd2 0.0000 0.5000 0.1119
Cd1 0.0000 0.0000 0.5000